1.
Material: PuCdIr2
Method: DFT, GGA-PBE
State: optimized geometry

Properties
E (eV per cell): -33.74
Density of states at the Fermi level (states/eV per atom): 1.98

Unit cell a=4.384 b=4.384 c=3.811 alpha=90.00 beta=90.00 gamma=90.00
Atoms (fractional coordinates):
Pu  0.000  0.000  0.000
Cd  0.500  0.500  0.000
Ir  0.000  0.500  0.500
Ir  0.500  0.000  0.500

2.
Material: PuCdIr
Method: DFT, GGA-PBE
State: optimized geometry

Properties
E (eV per cell): -49.97
Density of states at the Fermi level (states/eV per atom): 2.71

Unit cell a=5.317 b=5.317 c=7.735 alpha=116.89 beta=116.89 gamma=43.33
Atoms (fractional coordinates):
Pu  0.075  0.075  0.342
Pu  0.925  0.925  0.658
Cd  0.336  0.336  0.943
Cd  0.664  0.664  0.057
Ir  0.355  0.355  0.339
Ir  0.645  0.645  0.661

3.
Material: PuCdIr
Method: DFT, GGA-PBE
State: optimized geometry

Properties
E (eV per cell): -24.42
Density of states at the Fermi level (states/eV per atom): 3.31

Unit cell a=4.685 b=4.685 c=4.685 alpha=60.00 beta=60.00 gamma=60.00
Atoms (fractional coordinates):
Pu  0.000  0.000  0.000
Cd  0.500  0.500  0.500
Ir  0.250  0.250  0.250